[1]
Material: CsTl2In3Br6
Method: DFT, PBE
State: relaxed

Computed properties:
Final energy in eV/atom: -2.887
Uncorrected formation energy in meV/atom: -900
Symmetry: C2/m (12)
Spin magnetization in μB per formula unit: 0.00

Cell: 4.832 9.661 10.780 Å, 102.32 102.95 90.00°
Fractional coordinates of all 12 atoms:
1 Cs 0.500 0.000 0.000
2 Tl 0.831 0.660 0.663
3 Tl 0.169 0.340 0.337
4 Br 0.332 0.410 0.664
5 Br 0.996 0.729 0.992
6 Br 0.668 0.590 0.336
7 Br 0.676 0.092 0.353
8 Br 0.324 0.908 0.647
9 Br 0.004 0.271 0.008
10 In 0.168 0.830 0.337
11 In 0.500 0.500 0.000
12 In 0.832 0.170 0.663

---

[2]
Material: PuInHgBi
Method: DFT, PBE
State: relaxed

Computed properties:
Final energy in eV/atom: -5.566
Symmetry: Pmmm (47)
Relative energy among the computed polymorphs in kJ/mol of atoms: 0.0
Energy relative to the elements in eV per atom: -0.25
Spin magnetization in μB per formula unit: 5.70

Cell: 4.612 4.548 5.091 Å, 90.00 90.00 90.00°
Last column: magnetic moment on the atom in μB.
Fractional coordinates of all 4 atoms:
1 Hg 0.500 0.500 0.000  -0.01
2 In 0.000 0.000 0.000  -0.03
3 Bi 0.000 0.500 0.500  0.09
4 Pu 0.500 0.000 0.500  -5.42

---

[3]
Material: PaTiPd2O8
Method: DFT, PBE
State: relaxed

Computed properties:
Final energy in eV/atom: -7.206
Uncorrected formation energy in meV/atom: -1586
Symmetry: I-4m2 (119)
Spin magnetization in μB per formula unit: 0.88

Cell: 5.876 5.876 5.876 Å, 110.00 110.00 108.41°
Last column: magnetic moment on the atom in μB.
Fractional coordinates of all 12 atoms:
1 Pd 0.750 0.250 0.500  0.14
2 Pd 0.500 0.500 0.000  0.32
3 Ti 0.250 0.750 0.500  0.03
4 O 0.282 0.088 0.806  0.05
5 O 0.282 0.477 0.194  0.05
6 O 0.523 0.718 0.806  0.05
7 O 0.984 0.655 0.671  0.02
8 O 0.984 0.314 0.329  0.02
9 O 0.345 0.016 0.329  0.02
10 O 0.686 0.016 0.671  0.02
11 O 0.912 0.718 0.194  0.05
12 Pa 0.000 0.000 0.000  0.03

---

[4]
Material: YZr2Tc
Method: DFT, PBE
State: relaxed

Computed properties:
Final energy in eV/atom: -7.954
Symmetry: I-42d (122)
Relative energy among the computed polymorphs in kJ/mol of atoms: 63.1
Energy relative to the elements in eV per atom: 0.53
Spin magnetization in μB per formula unit: 0.00

Cell: 4.212 4.212 10.771 Å, 78.72 78.72 90.00°
Fractional coordinates of all 8 atoms:
1 Tc 0.750 0.250 0.500
2 Tc 0.000 0.000 0.000
3 Zr 0.106 0.625 0.250
4 Zr 0.375 0.356 0.750
5 Zr 0.875 0.894 0.750
6 Zr 0.644 0.125 0.250
7 Y 0.250 0.750 0.500
8 Y 0.500 0.500 0.000

---

[5]
Material: Th2Pb2Se7
Method: DFT, PBE
State: relaxed

Computed properties:
Final energy in eV/atom: -5.312
Uncorrected formation energy in meV/atom: -1071
Symmetry: Imm2 (44)
Spin magnetization in μB per formula unit: 0.00

Cell: 4.412 9.683 9.683 Å, 59.16 76.83 76.83°
Fractional coordinates of all 11 atoms:
1 Se 0.574 0.569 0.282
2 Se 0.426 0.718 0.431
3 Se 0.883 0.434 0.799
4 Se 0.817 0.038 0.328
5 Se 0.500 0.027 0.973
6 Se 0.117 0.201 0.566
7 Se 0.183 0.672 0.962
8 Th 0.000 0.827 0.173
9 Th 0.500 0.336 0.664
10 Pb 0.259 0.257 0.225
11 Pb 0.741 0.775 0.743

---

[6]
Material: TaRe2Tc
Method: DFT, PBE
State: relaxed

Computed properties:
Final energy in eV/atom: -11.698
Symmetry: I4/mmm (139)
Relative energy among the computed polymorphs in kJ/mol of atoms: 14.6
Energy relative to the elements in eV per atom: 0.08
Spin magnetization in μB per formula unit: 0.00

Cell: 4.933 4.933 4.933 Å, 133.06 133.06 68.55°
Fractional coordinates of all 4 atoms:
1 Re 0.000 0.000 0.000
2 Re 0.500 0.500 0.000
3 Ta 0.250 0.750 0.500
4 Tc 0.750 0.250 0.500

---

[7]
Material: K5Pa3Se8
Method: DFT, PBE
State: relaxed

Computed properties:
Final energy in eV/atom: -5.216
Uncorrected formation energy in meV/atom: -1350
Symmetry: R-3m (166)
Spin magnetization in μB per formula unit: 4.00

Cell: 8.667 8.667 9.177 Å, 61.82 61.82 60.00°
Last column: magnetic moment on the atom in μB.
Fractional coordinates of all 16 atoms:
1 Se 0.235 0.235 0.294  -0.03
2 Se 0.209 0.750 0.291  -0.03
3 Se 0.750 0.750 0.291  -0.03
4 Se 0.765 0.765 0.706  -0.03
5 Se 0.250 0.791 0.709  -0.03
6 Se 0.250 0.250 0.709  -0.03
7 Se 0.750 0.209 0.291  -0.03
8 Se 0.791 0.250 0.709  -0.03
9 K 0.500 0.000 0.000  0.00
10 K 0.500 0.500 0.000  0.00
11 K 0.000 0.500 0.000  0.00
12 K 0.500 0.500 0.500  0.00
13 K 0.000 0.000 0.000  0.00
14 Pa 0.000 0.000 0.500  1.21
15 Pa 0.000 0.500 0.500  1.21
16 Pa 0.500 0.000 0.500  1.21

---

[8]
Material: YAu2Br6
Method: DFT, PBE
State: relaxed

Computed properties:
Final energy in eV/atom: -3.374
Uncorrected formation energy in meV/atom: -813
Symmetry: C2/c (15)
Spin magnetization in μB per formula unit: 0.00

Cell: 7.803 9.688 9.688 Å, 88.92 75.79 75.79°
Fractional coordinates of all 18 atoms:
1 Au 0.291 0.359 0.215
2 Au 0.791 0.215 0.359
3 Au 0.209 0.785 0.641
4 Au 0.709 0.641 0.785
5 Br 0.132 0.811 0.000
6 Br 0.758 0.965 0.354
7 Br 0.868 0.189 0.000
8 Br 0.632 0.000 0.811
9 Br 0.925 0.416 0.368
10 Br 0.242 0.035 0.646
11 Br 0.742 0.646 0.035
12 Br 0.368 0.000 0.189
13 Br 0.425 0.368 0.416
14 Br 0.575 0.632 0.584
15 Br 0.075 0.584 0.632
16 Br 0.258 0.354 0.965
17 Y 0.250 0.065 0.935
18 Y 0.750 0.935 0.065

---

[9]
Material: FeNi2Pd2
Method: DFT, PBE
State: relaxed

Computed properties:
Final energy in eV/atom: -5.946
Symmetry: P4/mbm (127)
Relative energy among the computed polymorphs in kJ/mol of atoms: 0.0
Energy relative to the elements in eV per atom: 0.14
Spin magnetization in μB per formula unit: 5.00

Cell: 6.027 6.027 3.771 Å, 90.00 90.00 90.00°
Last column: magnetic moment on the atom in μB.
Fractional coordinates of all 10 atoms:
1 Ni 0.135 0.365 0.000  0.81
2 Ni 0.865 0.635 0.000  0.80
3 Ni 0.365 0.865 0.000  0.77
4 Ni 0.635 0.135 0.000  0.77
5 Pd 0.167 0.667 0.500  0.21
6 Pd 0.667 0.833 0.500  0.21
7 Pd 0.833 0.333 0.500  0.21
8 Pd 0.333 0.167 0.500  0.21
9 Fe 0.000 0.000 0.000  3.08
10 Fe 0.500 0.500 0.000  3.08

---

[10]
Material: Eu2LuZn
Method: DFT, PBE
State: relaxed

Computed properties:
Final energy in eV/atom: -6.631
Symmetry: P4/mmm (123)
Relative energy among the computed polymorphs in kJ/mol of atoms: 0.0
Energy relative to the elements in eV per atom: -0.04
Spin magnetization in μB per formula unit: 15.33

Cell: 3.698 3.698 8.969 Å, 90.00 90.00 90.00°
Last column: magnetic moment on the atom in μB.
Fractional coordinates of all 4 atoms:
1 Zn 0.500 0.500 0.000  0.01
2 Lu 0.500 0.500 0.500  0.43
3 Eu 0.000 0.000 0.790  6.91
4 Eu 0.000 0.000 0.210  6.91

---

[11]
Material: Sr2LaPt2
Method: DFT, PBE
State: relaxed

Computed properties:
Final energy in eV/atom: -4.604
Symmetry: I4/mmm (139)
Relative energy among the computed polymorphs in kJ/mol of atoms: 24.4
Energy relative to the elements in eV per atom: -0.53
Spin magnetization in μB per formula unit: 0.00

Cell: 4.598 4.598 7.560 Å, 72.30 72.30 90.00°
Fractional coordinates of all 5 atoms:
1 Pt 0.597 0.597 0.806
2 Pt 0.403 0.403 0.194
3 La 0.000 0.000 0.000
4 Sr 0.750 0.250 0.500
5 Sr 0.250 0.750 0.500

---

[12]
Material: CrIn2Sb
Method: DFT, PBE
State: relaxed

Computed properties:
Final energy in eV/atom: -4.566
Uncorrected formation energy in meV/atom: 240
Symmetry: P4mm (99)
Spin magnetization in μB per formula unit: 3.36

Cell: 3.683 3.683 7.076 Å, 90.00 90.00 90.00°
Last column: magnetic moment on the atom in μB.
Fractional coordinates of all 4 atoms:
1 In 0.500 0.500 0.254  -0.01
2 In 0.000 0.000 0.983  -0.02
3 Sb 0.000 0.000 0.557  -0.14
4 Cr 0.500 0.500 0.706  3.31